## CePrN2 (PBE-GGA)

Data for crystalline CePrN2 at its relaxed geometry.

- SG = No. 194
- E_form (uncorrected) (meV per atom) = -1398
- DOS(E_F) (states/eV/atom) = 0.72

Cell: 3.600 3.600 11.919 Å, 90.00 90.00 120.00°
Sites, in units of the cell vectors:
1 N 0.667 0.333 0.613
2 N 0.333 0.667 0.113
3 N 0.667 0.333 0.887
4 N 0.333 0.667 0.387
5 Ce 0.000 0.000 0.000
6 Ce 0.000 0.000 0.500
7 Pr 0.333 0.667 0.750
8 Pr 0.667 0.333 0.250